# meta-GGA SCAN La2ReMo, single point on PBEsol structure
# N(E_F) in states/eV/f.u.: 3.50
# Formation energy from the elements in meV/atom: 965
# Energy above the lowest structure with this stoichiometry in eV/f.u.: 0.69
# V in Å³ per atom: 22.02
# VASP energy in eV/f.u.: -188.3
data_La2ReMo
_chemical_formula_sum 'La6 Re3 Mo3'
_space_group_name_H-M_alt 'R -3 m'
_space_group_IT_number 166
_space_group_name_Hall '-R 3 2"'
_cell_length_a 3.3346
_cell_length_b 3.3346
_cell_length_c 27.4333
_cell_angle_alpha 90.00
_cell_angle_beta 90.00
_cell_angle_gamma 120.00
loop_
_atom_site_label
_atom_site_fract_x
_atom_site_fract_y
_atom_site_fract_z
La1 0.0000 0.0000 0.2479
Re1 0.0000 0.0000 0.5000
Mo1 0.0000 0.0000 0.0000

=====

# meta-GGA SCAN AlReGe, single point on PBEsol structure
# N(E_F) in states/eV/f.u.: 0.00
# Formation energy from the elements in meV/atom: -346
# V in Å³ per atom: 14.16
# VASP energy in eV/f.u.: -99.0
data_AlReGe
_chemical_formula_sum 'Al2 Re2 Ge2'
_space_group_name_H-M_alt 'I 4 m m'
_space_group_IT_number 107
_space_group_name_Hall 'I 4 -2'
_cell_length_a 3.2318
_cell_length_b 3.2318
_cell_length_c 8.1316
_cell_angle_alpha 90.00
_cell_angle_beta 90.00
_cell_angle_gamma 90.00
loop_
_atom_site_label
_atom_site_fract_x
_atom_site_fract_y
_atom_site_fract_z
Al1 0.0000 0.0000 0.0000
Re1 0.0000 0.0000 0.6682
Ge1 0.0000 0.0000 0.3269

=====

# meta-GGA SCAN LiIn2Ag, single point on PBEsol structure
# N(E_F) in states/eV/f.u.: 0.93
# Formation energy from the elements in meV/atom: -184
# V in Å³ per atom: 19.36
# VASP energy in eV/f.u.: -101.3
data_LiIn2Ag
_chemical_formula_sum 'Li1 In2 Ag1'
_space_group_name_H-M_alt 'P m m 2'
_space_group_IT_number 25
_cell_length_a 3.0609
_cell_length_b 4.7744
_cell_length_c 5.2980
_cell_angle_alpha 90.00
_cell_angle_beta 90.00
_cell_angle_gamma 90.00
loop_
_space_group_symop_operation_xyz
'x,y,z'
'-x,-y,z'
'-x,y,z'
'x,-y,z'
loop_
_atom_site_label
_atom_site_fract_x
_atom_site_fract_y
_atom_site_fract_z
Li1 0.0000 0.0000 0.0000
In1 0.5000 0.0000 0.5098
In2 0.5000 0.5000 0.1569
Ag1 0.0000 0.5000 0.6879

=====

# meta-GGA SCAN LaY2Sc, single point on PBEsol structure
# N(E_F) in states/eV/f.u.: 5.61
# Formation energy from the elements in meV/atom: 91
# Energy above the lowest structure with this stoichiometry in eV/f.u.: 0.09
# V in Å³ per atom: 29.94
# VASP energy in eV/f.u.: -112.7
data_LaY2Sc
_chemical_formula_sum 'La2 Y4 Sc2'
_space_group_name_H-M_alt 'I m m m'
_space_group_IT_number 71
_space_group_name_Hall '-I 2 2'
_cell_length_a 3.7771
_cell_length_b 5.5929
_cell_length_c 11.3385
_cell_angle_alpha 90.00
_cell_angle_beta 90.00
_cell_angle_gamma 90.00
loop_
_atom_site_label
_atom_site_fract_x
_atom_site_fract_y
_atom_site_fract_z
La1 0.0000 0.0000 0.0000
Y1 0.0000 0.5000 0.2319
Sc1 0.0000 0.0000 0.5000

=====

# meta-GGA SCAN ZnHg2Br, single point on PBEsol structure
# N(E_F) in states/eV/f.u.: 1.79
# Energy above the lowest structure with this stoichiometry in eV/f.u.: 1.27
# V in Å³ per atom: 23.13
# VASP energy in eV/f.u.: -168.7
# Energy relative to the elements, uncorrected in eV/atom: 0.15
data_ZnHg2Br
_chemical_formula_sum 'Zn1 Hg2 Br1'
_space_group_name_H-M_alt 'P 4/m m m'
_space_group_IT_number 123
_space_group_name_Hall '-P 4 2'
_cell_length_a 5.0497
_cell_length_b 5.0497
_cell_length_c 3.6291
_cell_angle_alpha 90.00
_cell_angle_beta 90.00
_cell_angle_gamma 90.00
loop_
_atom_site_label
_atom_site_fract_x
_atom_site_fract_y
_atom_site_fract_z
Zn1 0.0000 0.0000 0.0000
Hg1 0.0000 0.5000 0.5000
Br1 0.5000 0.5000 0.0000

=====

# meta-GGA SCAN SmPPd, single point on PBEsol structure
# N(E_F) in states/eV/f.u.: 0.80
# Formation energy from the elements in meV/atom: -1397
# V in Å³ per atom: 19.02
# VASP energy in eV/f.u.: -91.8
data_SmPPd
_chemical_formula_sum 'Sm2 P2 Pd2'
_space_group_name_H-M_alt 'P 63/m m c'
_space_group_IT_number 194
_space_group_name_Hall '-P 6c 2c'
_cell_length_a 4.1380
_cell_length_b 4.1380
_cell_length_c 7.6941
_cell_angle_alpha 90.00
_cell_angle_beta 90.00
_cell_angle_gamma 120.00
loop_
_atom_site_label
_atom_site_fract_x
_atom_site_fract_y
_atom_site_fract_z
Sm1 0.0000 0.0000 0.0000
P1 0.3333 0.6667 0.2500
Pd1 0.3333 0.6667 0.7500

=====

# meta-GGA SCAN FeS2NCl, single point on PBEsol structure
# N(E_F) in states/eV/f.u.: 2.13
# V in Å³ per atom: 14.84
# VASP energy in eV/f.u.: -46.0
# Energy relative to the elements, uncorrected in eV/atom: 1.72
data_FeS2NCl
_chemical_formula_sum 'Fe1 S2 N1 Cl1'
_space_group_name_H-M_alt 'P 4/m m m'
_space_group_IT_number 123
_space_group_name_Hall '-P 4 2'
_cell_length_a 4.7035
_cell_length_b 4.7035
_cell_length_c 3.3548
_cell_angle_alpha 90.00
_cell_angle_beta 90.00
_cell_angle_gamma 90.00
loop_
_atom_site_label
_atom_site_fract_x
_atom_site_fract_y
_atom_site_fract_z
Fe1 0.0000 0.0000 0.0000
S1 0.0000 0.5000 0.5000
N1 0.5000 0.5000 0.0000
Cl1 0.5000 0.5000 0.5000

=====

# meta-GGA SCAN Fe2CoSi, single point on PBEsol structure
# N(E_F) in states/eV/f.u.: 2.73
# V in Å³ per atom: 10.61
# VASP energy in eV/f.u.: -64.6
# Energy relative to the elements, uncorrected in eV/atom: -0.24
data_Fe2CoSi
_chemical_formula_sum 'Fe4 Co2 Si2'
_space_group_name_H-M_alt 'I 4/m m m'
_space_group_IT_number 139
_space_group_name_Hall '-I 4 2'
_cell_length_a 3.4454
_cell_length_b 3.4454
_cell_length_c 7.1512
_cell_angle_alpha 90.00
_cell_angle_beta 90.00
_cell_angle_gamma 90.00
loop_
_atom_site_label
_atom_site_fract_x
_atom_site_fract_y
_atom_site_fract_z
Fe1 0.0000 0.5000 0.2500
Co1 0.0000 0.0000 0.0000
Si1 0.0000 0.0000 0.5000

=====

# meta-GGA SCAN MgOs2W, single point on PBEsol structure
# N(E_F) in states/eV/f.u.: 2.13
# Formation energy from the elements in meV/atom: 148
# V in Å³ per atom: 15.13
# VASP energy in eV/f.u.: -217.8
data_MgOs2W
_chemical_formula_sum 'Mg3 Os6 W3'
_space_group_name_H-M_alt 'R -3 m'
_space_group_IT_number 166
_space_group_name_Hall '-R 3 2"'
_cell_length_a 2.7958
_cell_length_b 2.7958
_cell_length_c 26.8122
_cell_angle_alpha 90.00
_cell_angle_beta 90.00
_cell_angle_gamma 120.00
loop_
_atom_site_label
_atom_site_fract_x
_atom_site_fract_y
_atom_site_fract_z
Mg1 0.0000 0.0000 0.0000
Os1 0.0000 0.0000 0.2469
W1 0.0000 0.0000 0.5000

=====

# meta-GGA SCAN Cu3Ni, single point on PBEsol structure
# N(E_F) in states/eV/f.u.: 1.21
# Formation energy from the elements in meV/atom: 32
# V in Å³ per atom: 10.97
# VASP energy in eV/f.u.: -61.6
data_Cu3Ni
_chemical_formula_sum 'Cu12 Ni4'
_space_group_name_H-M_alt 'I 4/m m m'
_space_group_IT_number 139
_space_group_name_Hall '-I 4 2'
_cell_length_a 3.5498
_cell_length_b 3.5498
_cell_length_c 13.9282
_cell_angle_alpha 90.00
_cell_angle_beta 90.00
_cell_angle_gamma 90.00
loop_
_atom_site_label
_atom_site_fract_x
_atom_site_fract_y
_atom_site_fract_z
Cu1 0.0000 0.0000 0.1251
Cu2 0.0000 0.5000 0.0000
Cu3 0.0000 0.5000 0.2500
Ni1 0.0000 0.0000 0.3748

=====

# meta-GGA SCAN K2SnP2O7, single point on PBEsol structure
# N(E_F) in states/eV/f.u.: 0.00
# V in Å³ per atom: 16.18
# VASP energy in eV/f.u.: -145.2
# Energy relative to the elements, uncorrected in eV/atom: -2.35
data_K2SnP2O7
_chemical_formula_sum 'K8 Sn4 P8 O28'
_space_group_name_H-M_alt 'P 1 21/c 1'
_space_group_IT_number 14
_cell_length_a 9.8435
_cell_length_b 6.7786
_cell_length_c 13.1529
_cell_angle_alpha 90.00
_cell_angle_beta 117.78
_cell_angle_gamma 90.00
loop_
_space_group_symop_operation_xyz
'x,y,z'
'-x,-y,-z'
'-x,y+1/2,-z+1/2'
'x,-y+1/2,z+1/2'
loop_
_atom_site_label
_atom_site_fract_x
_atom_site_fract_y
_atom_site_fract_z
K1 0.0140 0.1254 0.1466
K2 0.4813 0.6469 0.6619
Sn1 0.2478 0.1542 0.4933
P1 0.1351 0.6293 0.1488
P2 0.3480 0.6415 0.8560
O1 0.0076 0.0163 0.3648
O2 0.1041 0.6908 0.5745
O3 0.2118 0.6983 0.2839
O4 0.2554 0.0135 0.6435
O5 0.3156 0.0516 0.2917
O6 0.3363 0.6228 0.9694
O7 0.4965 0.7455 0.8754

=====

# meta-GGA SCAN ZnCd2As, single point on PBEsol structure
# N(E_F) in states/eV/f.u.: 1.79
# Formation energy from the elements in meV/atom: 166
# Energy above the lowest structure with this stoichiometry in eV/f.u.: 0.00
# V in Å³ per atom: 19.77
# VASP energy in eV/f.u.: -93.9
data_ZnCd2As
_chemical_formula_sum 'Zn1 Cd2 As1'
_space_group_name_H-M_alt 'P 4 m m'
_space_group_IT_number 99
_cell_length_a 3.5824
_cell_length_b 3.5824
_cell_length_c 6.1628
_cell_angle_alpha 90.00
_cell_angle_beta 90.00
_cell_angle_gamma 90.00
loop_
_space_group_symop_operation_xyz
'x,y,z'
'-y,x,z'
'-x,-y,z'
'y,-x,z'
'-x,y,z'
'y,x,z'
'x,-y,z'
'-y,-x,z'
loop_
_atom_site_label
_atom_site_fract_x
_atom_site_fract_y
_atom_site_fract_z
Zn1 0.0000 0.0000 0.0000
Cd1 0.0000 0.0000 0.4498
Cd2 0.5000 0.5000 0.6878
As1 0.5000 0.5000 0.1273